LaAl33O51: relaxed, GGA-PBEsol.

Cell lengths 9.7144, 9.7416, 11.7012 Å; angles 82.06, 73.91, 60.09 degrees
Last column: nearest neighbours and their distance in Å.
Fractional positions:
La  0.0000  0.0000  0.5000  2 O 2.39
Al  0.6661  0.6678  0.0000  6 O 1.88-1.91
Al  0.7623  0.6680  0.2159  4 O 1.81-2.01
Al  0.9290  0.8319  0.2164  4 O 1.80-2.00
Al  0.7366  0.8343  0.7854  4 O 1.80-2.02
Al  0.0000  0.0000  0.0000  6 O 1.87-1.90
Al  0.2201  0.6635  0.3500  4 O 1.75-1.81
Al  0.3171  0.6651  0.0501  4 O 1.80-1.82
Al  0.0178  0.6651  0.9499  4 O 1.80-1.82
Al  0.1163  0.6635  0.6500  4 O 1.75-1.81
Al  0.7609  0.1681  0.2164  4 O 1.80-2.00
Al  0.8988  0.0000  0.7951  6 O 1.86-1.96
Al  0.1012  0.0000  0.2049  6 O 1.86-1.96
Al  0.2391  0.8319  0.7836  4 O 1.80-2.00
Al  0.6829  0.3349  0.9499  4 O 1.80-1.82
Al  0.8837  0.3365  0.3500  4 O 1.75-1.81
Al  0.7799  0.3365  0.6500  4 O 1.75-1.81
Al  0.9822  0.3349  0.0501  4 O 1.80-1.82
Al  0.4291  0.8343  0.2146  4 O 1.80-2.02
Al  0.2634  0.1657  0.2146  4 O 1.80-2.02
Al  0.5698  0.6680  0.7841  4 O 1.81-2.01
Al  0.0710  0.1681  0.7836  4 O 1.80-2.00
Al  0.9046  0.4991  0.7850  4 O 1.81-1.99
Al  0.4510  0.0000  0.6478  4 O 1.66-1.79
Al  0.3502  0.0000  0.9456  4 O 1.80-1.84
Al  0.6498  0.0000  0.0544  4 O 1.80-1.84
Al  0.3339  0.3322  0.0000  6 O 1.88-1.91
Al  0.5490  0.0000  0.3522  4 O 1.66-1.79
Al  0.0954  0.5009  0.2150  4 O 1.81-1.99
Al  0.2377  0.3320  0.7841  4 O 1.81-2.01
Al  0.4302  0.3320  0.2159  4 O 1.81-2.01
Al  0.5709  0.1657  0.7854  4 O 1.80-2.02
Al  0.5962  0.4991  0.2150  4 O 1.81-1.99
Al  0.4038  0.5009  0.7850  4 O 1.81-1.99
O  0.7617  0.6668  0.7153  3 Al 1.80-1.81
O  0.9654  0.6657  0.1109  4 Al 1.81-2.01
O  0.7388  0.8338  0.2877  3 Al 1.78-1.81
O  0.8573  0.6691  0.8981  2 Al 1.80-1.91
O  0.0718  0.6665  0.2895  3 Al 1.76-1.82
O  0.8135  0.0000  0.1020  4 Al 1.82-2.03
O  0.1414  0.7171  0.5000  2 Al 1.75
O  0.1239  0.8444  0.1008  3 Al 1.82-1.96
O  0.9095  0.0000  0.2921  3 Al 1.86-1.87
O  0.9276  0.8426  0.7028  3 Al 1.81-1.88
O  0.7046  0.0000  0.8911  4 Al 1.84-2.02
O  0.9683  0.1556  0.1008  3 Al 1.82-1.96
O  0.7383  0.3335  0.2895  3 Al 1.76-1.82
O  0.7702  0.1574  0.7028  3 Al 1.81-1.88
O  0.2617  0.6665  0.7105  3 Al 1.76-1.82
O  0.2298  0.8426  0.2972  3 Al 1.81-1.88
O  0.4736  0.6691  0.1019  2 Al 1.80-1.91
O  0.0317  0.8444  0.8992  3 Al 1.82-1.96
O  0.8586  0.2829  0.5000  2 Al 1.75
O  0.7902  0.5114  0.0994  2 Al 1.80-1.89
O  0.8761  0.1556  0.8992  3 Al 1.82-1.96
O  0.2954  0.0000  0.1089  4 Al 1.84-2.02
O  0.0724  0.1574  0.2972  3 Al 1.81-1.88
O  0.5715  0.6668  0.2847  3 Al 1.80-1.81
O  0.3690  0.6657  0.8891  4 Al 1.81-2.01
O  0.0905  0.0000  0.7079  3 Al 1.86-1.87
O  0.6340  0.8230  0.0994  2 Al 1.80-1.88
O  0.1865  0.0000  0.8980  4 Al 1.82-2.03
O  0.4020  0.0000  0.2883  3 Al 1.79-1.80
O  0.4274  0.8338  0.7123  3 Al 1.78-1.81
O  0.9282  0.3335  0.7105  3 Al 1.76-1.82
O  0.9033  0.5026  0.2924  3 Al 1.75-1.83
O  0.1427  0.3309  0.1019  2 Al 1.80-1.91
O  0.6984  0.5114  0.9006  2 Al 1.80-1.89
O  0.5000  0.0000  0.5000  2 Al 1.66
O  0.5430  0.8230  0.9006  2 Al 1.80-1.88
O  0.4570  0.1770  0.0994  2 Al 1.80-1.88
O  0.0346  0.3343  0.8891  4 Al 1.81-2.01
O  0.2612  0.1662  0.7123  3 Al 1.78-1.81
O  0.2383  0.3332  0.2847  3 Al 1.80-1.81
O  0.3016  0.4886  0.0994  2 Al 1.80-1.89
O  0.0967  0.4974  0.7076  3 Al 1.75-1.83
O  0.5980  0.0000  0.7117  3 Al 1.79-1.80
O  0.5726  0.1662  0.2877  3 Al 1.78-1.81
O  0.3660  0.1770  0.9006  2 Al 1.80-1.88
O  0.2098  0.4886  0.9006  2 Al 1.80-1.89
O  0.6310  0.3343  0.1109  4 Al 1.81-2.01
O  0.4285  0.3332  0.7153  3 Al 1.80-1.81
O  0.4059  0.4974  0.2924  3 Al 1.75-1.83
O  0.5264  0.3309  0.8981  2 Al 1.80-1.91
O  0.5941  0.5026  0.7076  3 Al 1.75-1.83

Results
DFT total energy ... -666.444 eV per cell
DOS(E_F) ... 0.0000 states/eV per atom
E_form (uncorrected) ... -3040 meV per atom

***

Rb2YAgCl6: relaxed, GGA-PBEsol.

Cell lengths 7.4211, 7.4211, 7.4211 Å; angles 60.00, 60.00, 60.00 degrees
Last column: nearest neighbours and their distance in Å.
Fractional positions:
Rb  0.7500  0.7500  0.7500  12 Cl 3.71
Rb  0.2500  0.2500  0.2500  12 Cl 3.71
Y  0.5000  0.5000  0.5000  6 Cl 2.60
Ag  0.0000  0.0000  0.0000  6 Cl 2.65
Cl  0.7473  0.2527  0.2527  1 Y 2.60, 1 Ag 2.65
Cl  0.7473  0.7473  0.2527  1 Y 2.60, 1 Ag 2.65
Cl  0.2527  0.7473  0.7473  1 Y 2.60, 1 Ag 2.65
Cl  0.7473  0.2527  0.7473  1 Y 2.60, 1 Ag 2.65
Cl  0.2527  0.7473  0.2527  1 Y 2.60, 1 Ag 2.65
Cl  0.2527  0.2527  0.7473  1 Y 2.60, 1 Ag 2.65

Results
DFT total energy ... -42.204 eV per cell
DOS(E_F) ... 0.0000 states/eV per atom
E_form (uncorrected) ... -1797 meV per atom

***

YMoPt2: relaxed, GGA-PBEsol.

Cell lengths 2.9631, 3.8749, 6.1756 Å; angles 90.00, 90.00, 90.00 degrees
Last column: nearest neighbours and their distance in Å.
Fractional positions:
Mo  0.5000  0.5000  0.8060  5 Pt 2.66, 2 Mo 2.96
Pt  0.0000  0.0000  0.9759  4 Mo 2.66, 6 Pt 2.92-2.96
Pt  0.5000  0.5000  0.2371  1 Mo 2.66, 4 Y 2.87, 6 Pt 2.92-2.96
Y  0.0000  0.0000  0.4810  6 Pt 2.87-3.12, 2 Y 2.96, 4 Mo 3.16

Results
DFT total energy ... -33.762 eV per cell
E_form ... -0.311 eV/atom
DOS(E_F) ... 0.6869 states/eV per atom

***

Sc2SbP: relaxed, GGA-PBEsol.

Cell lengths 3.3215, 3.3215, 7.4804 Å; angles 90.00, 90.00, 105.18 degrees
Last column: nearest neighbours and their distance in Å.
Fractional positions:
P  0.5000  0.5000  0.5000  4 Sc 2.59
Sb  0.5000  0.5000  0.0000  4 Sc 2.92
Sc  0.0000  0.0000  0.2829  2 P 2.59
Sc  0.0000  0.0000  0.7171  2 P 2.59

Results
DFT total energy ... -27.353 eV per cell
DOS(E_F) ... 0.5438 states/eV per atom
E_form (uncorrected) ... -948 meV per atom

***

SrMg3F: relaxed, GGA-PBEsol.

Cell lengths 4.9483, 4.9483, 4.9483 Å; angles 90.00, 90.00, 90.00 degrees
Last column: nearest neighbours and their distance in Å.
Fractional positions:
Sr  0.5000  0.5000  0.5000  12 Mg 3.50
Mg  0.0000  0.5000  0.0000  2 F 2.47
Mg  0.0000  0.0000  0.5000  2 F 2.47
Mg  0.5000  0.0000  0.0000  2 F 2.47
F  0.0000  0.0000  0.0000  6 Mg 2.47

Results
DFT total energy ... -12.446 eV per cell
DOS(E_F) ... 0.4723 states/eV per atom
E_form (uncorrected) ... -705 meV per atom

***

Zr2AlPb: relaxed, GGA-PBEsol.

Cell lengths 3.1991, 3.1991, 9.9328 Å; angles 80.73, 80.73, 60.00 degrees
Last column: nearest neighbours and their distance in Å.
Fractional positions:
Pb  0.5000  0.5000  0.5000  6 Zr 3.14, 6 Pb 3.20
Al  0.0000  0.0000  0.0000  6 Zr 2.98, 6 Al 3.20
Zr  0.2533  0.2533  0.2402  3 Al 2.98, 3 Pb 3.14, 6 Zr 3.20
Zr  0.7467  0.7467  0.7598  3 Al 2.98, 3 Pb 3.14, 6 Zr 3.20

Results
DFT total energy ... -26.774 eV per cell
E_form ... -0.126 eV/atom
DOS(E_F) ... 0.7954 states/eV per atom

***

Q: Among the records above, which one has the highest DOS(E_F)?
A: Zr2AlPb

***

Q: The lowest DFT total energy belongs to which entry?
A: LaAl33O51

***

Repeat the third record exactly.
YMoPt2: relaxed, GGA-PBEsol.

Cell lengths 2.9631, 3.8749, 6.1756 Å; angles 90.00, 90.00, 90.00 degrees
Last column: nearest neighbours and their distance in Å.
Fractional positions:
Mo  0.5000  0.5000  0.8060  5 Pt 2.66, 2 Mo 2.96
Pt  0.0000  0.0000  0.9759  4 Mo 2.66, 6 Pt 2.92-2.96
Pt  0.5000  0.5000  0.2371  1 Mo 2.66, 4 Y 2.87, 6 Pt 2.92-2.96
Y  0.0000  0.0000  0.4810  6 Pt 2.87-3.12, 2 Y 2.96, 4 Mo 3.16

Results
DFT total energy ... -33.762 eV per cell
E_form ... -0.311 eV/atom
DOS(E_F) ... 0.6869 states/eV per atom

***

Q: The highest DFT total energy belongs to which entry?
A: SrMg3F